# V3GaF

V3GaF after structural relaxation (PBE with a Hubbard U, Alexandria).

For the volume, the calculation gives 85.3 Å³ per cell. The calculation puts the size of the total moment at 9.061 μB/f.u. For the energy above the most stable polymorph in this dataset, the calculation gives 0.0 meV/atom.

a = 4.4025 Å, b = 4.4025 Å, c = 4.4025 Å
α = 90.00°, β = 90.00°, γ = 90.00°
Each line ends with the local moment (μB).
Sites, in units of the cell vectors:
F 0.0000 0.0000 0.0000  0.05
V 0.0000 0.0000 0.5000  2.74
Ga 0.5000 0.5000 0.5000  -0.13
V 0.0000 0.5000 0.0000  2.74
V 0.5000 0.0000 0.0000  2.74